# 1
Entry from the Alexandria database: an optimized crystal structure of BeTl2Fe (PBE).

a b c (Å): 6.8576 6.8576 6.8576
angles (deg): 90.00 90.00 90.00
Space group F-43m (No. 216)
Asymmetric unit:
Be (0.0000, 0.0000, 0.0000) (multiplicity 4)
Tl (0.0000, 0.0000, 0.5000) (multiplicity 4)
Tl (0.2500, 0.2500, 0.2500) (multiplicity 4)
Fe (0.2500, 0.2500, 0.7500) (multiplicity 4)

Output
Offset from the most stable computed form = 0.528 eV per atom
Final energy = -3.262 eV/atom

---

# 2
Entry from the Alexandria database: an optimized crystal structure of BeTl4Fe (PBE).

a b c (Å): 8.7911 8.7911 8.7911
angles (deg): 90.00 90.00 90.00
Space group F-43m (No. 216)
Asymmetric unit:
Be (0.0000, 0.0000, 0.0000) (multiplicity 4)
Tl (0.1249, 0.1249, 0.3751) (multiplicity 16)
Fe (0.2500, 0.2500, 0.7500) (multiplicity 4)

Output
Final energy = -2.518 eV/atom

---

# 3
Entry from the Alexandria database: an optimized crystal structure of BeTlFe2 (PBE).

a b c (Å): 8.2701 3.1668 4.5496
angles (deg): 90.00 107.57 90.00
Space group Cm (No. 8)
Asymmetric unit:
Be (0.0000, 0.0000, 0.0000) (multiplicity 2)
Tl (0.2344, 0.0000, 0.6751) (multiplicity 2)
Fe (0.2259, 0.5000, 0.1635) (multiplicity 2)
Fe (0.4624, 0.0000, 0.3366) (multiplicity 2)

Output
Final energy = -5.281 eV/atom

---

# 4
Entry from the Alexandria database: an optimized crystal structure of BeTl2Fe (PBE).

a b c (Å): 4.2465 4.2506 8.2016
angles (deg): 90.00 90.00 90.00
Space group Immm (No. 71)
Asymmetric unit:
Be (0.0000, 0.0000, 0.0000) (multiplicity 2)
Tl (0.0000, 0.5000, 0.2506) (multiplicity 4)
Fe (0.0000, 0.0000, 0.5000) (multiplicity 2)

Output
Offset from the most stable computed form = 0.384 eV per atom
Final energy = -3.406 eV/atom

---

# 5
Entry from the Alexandria database: an optimized crystal structure of BeTlFe3 (PBE).

a b c (Å): 4.8346 4.8346 4.8346
angles (deg): 90.00 90.00 90.00
Space group Pm-3m (No. 221)
Asymmetric unit:
Be (0.0000, 0.0000, 0.0000) (multiplicity 1)
Tl (0.5000, 0.5000, 0.5000) (multiplicity 1)
Fe (0.0000, 0.5000, 0.5000) (multiplicity 3)

Output
Offset from the most stable computed form = 1.517 eV per atom
Final energy = -4.241 eV/atom

---

# 6
Entry from the Alexandria database: an optimized crystal structure of BeTl2Fe (PBE).

a b c (Å): 8.5211 3.1351 5.8976
angles (deg): 90.00 103.21 90.00
Space group C2/m (No. 12)
Asymmetric unit:
Be (0.0000, 0.0000, 0.0000) (multiplicity 2)
Tl (0.2439, 0.5000, 0.2433) (multiplicity 4)
Fe (0.0000, 0.5000, 0.5000) (multiplicity 2)

Output
Offset from the most stable computed form = 0.345 eV per atom
Final energy = -3.445 eV/atom

---

# 7
Entry from the Alexandria database: an optimized crystal structure of BeTl2Fe (PBE).

a b c (Å): 3.4384 5.3087 8.4888
angles (deg): 90.00 90.00 90.00
Space group Cmmm (No. 65)
Asymmetric unit:
Be (0.0000, 0.0000, 0.0000) (multiplicity 2)
Tl (0.0000, 0.5000, 0.2404) (multiplicity 4)
Fe (0.0000, 0.0000, 0.5000) (multiplicity 2)

Output
Offset from the most stable computed form = 0.379 eV per atom
Final energy = -3.411 eV/atom

---

# 8
Entry from the Alexandria database: an optimized crystal structure of BeTlFe2 (PBE).

a b c (Å): 3.6903 3.6903 4.0220
angles (deg): 90.00 90.00 90.00
Space group P4/mmm (No. 123)
Asymmetric unit:
Be (0.0000, 0.0000, 0.0000) (multiplicity 1)
Tl (0.5000, 0.5000, 0.0000) (multiplicity 1)
Fe (0.0000, 0.5000, 0.5000) (multiplicity 2)

Output
Final energy = -5.299 eV/atom

---

Number 1: V 20.16 Å³ per atom, E_form 3.9 eV per formula unit. Number 2: V 28.31 Å³ per atom, E_form 6.5 eV per formula unit. Number 3: V 14.20 Å³ per atom, E_form 1.9 eV per formula unit. Number 4: V 18.51 Å³ per atom, E_form 3.3 eV per formula unit. Number 5: V 22.60 Å³ per atom, E_form 10.3 eV per formula unit. Number 6: V 19.17 Å³ per atom, E_form 3.1 eV per formula unit. Number 7: V 19.37 Å³ per atom, E_form 3.3 eV per formula unit. Number 8: V 13.69 Å³ per atom, E_form 1.8 eV per formula unit.